## TaHgSe3 (meta-GGA SCAN)

Data for a crystal of TaHgSe3 relaxed with PBEsol.

The calculation puts the formation energy (no corrections) at 1.299 eV per atom. Its electronic total energy is -188.5 eV per cell.

Cell lengths 5.019, 5.019, 5.019 Å; angles 90.00, 90.00, 90.00 degrees
Space group Pm-3m (No. 221)
Symmetry-distinct sites (fractional):
Ta: 0.000 0.000 0.000
Hg: 0.500 0.500 0.500
Se: 0.000 0.500 0.500

***

## TaHgSe2 (meta-GGA SCAN)

Data for a crystal of TaHgSe2 relaxed with PBEsol.

The calculation puts the formation energy (no corrections) at -0.143 eV per atom. Its electronic total energy is -701.9 eV per cell.

Cell lengths 7.161, 7.161, 9.999 Å; angles 90.00, 90.00, 90.00 degrees
Space group I-42d (No. 122)
Symmetry-distinct sites (fractional):
Ta: 0.000 0.000 0.000
Hg: 0.000 0.000 0.500
Se: 0.149 0.750 0.125

***

## TcHg2Se (meta-GGA SCAN)

Data for a crystal of TcHg2Se relaxed with PBEsol.

The calculation puts the formation energy (no corrections) at 0.661 eV per atom. Its electronic total energy is -188.8 eV per cell.

Cell lengths 3.268, 4.581, 4.951 Å; angles 90.00, 90.00, 90.00 degrees
Space group Pmmm (No. 47)
Symmetry-distinct sites (fractional):
Tc: 0.000 0.000 0.000
Hg: 0.000 0.500 0.500
Hg: 0.500 0.000 0.500
Se: 0.500 0.500 0.000

***

## TcHgSe3 (meta-GGA SCAN)

Data for a crystal of TcHgSe3 relaxed with PBEsol.

The calculation puts the formation energy (no corrections) at 1.162 eV per atom. Its electronic total energy is -157.7 eV per cell.

Cell lengths 5.108, 5.108, 5.108 Å; angles 90.00, 90.00, 90.00 degrees
Space group Pm-3m (No. 221)
Symmetry-distinct sites (fractional):
Tc: 0.000 0.000 0.000
Hg: 0.500 0.500 0.500
Se: 0.000 0.500 0.500

***

## Tc2HgSe2 (meta-GGA SCAN)

Data for a crystal of Tc2HgSe2 relaxed with PBEsol.

The calculation puts the formation energy (no corrections) at 0.192 eV per atom. Its electronic total energy is -355.0 eV per cell.

Cell lengths 4.836, 4.836, 8.136 Å; angles 90.00, 90.00, 90.00 degrees
Space group I4/mmm (No. 139)
Symmetry-distinct sites (fractional):
Tc: 0.000 0.000 0.132
Hg: 0.000 0.000 0.500
Se: 0.000 0.500 0.250

***

## TcHgSe2 (meta-GGA SCAN)

Data for a crystal of TcHgSe2 relaxed with PBEsol.

The calculation puts the formation energy (no corrections) at 0.848 eV per atom. Its electronic total energy is -560.0 eV per cell.

Cell lengths 6.663, 6.663, 6.663 Å; angles 90.00, 90.00, 90.00 degrees
Space group F-43m (No. 216)
Symmetry-distinct sites (fractional):
Tc: 0.000 0.000 0.000
Hg: 0.250 0.250 0.750
Se: 0.000 0.000 0.500
Se: 0.250 0.250 0.250

***

## TcHgSe2 (meta-GGA SCAN)

Data for a crystal of TcHgSe2 relaxed with PBEsol.

The calculation puts the formation energy (no corrections) at 0.423 eV per atom. Its electronic total energy is -425.1 eV per cell.

Cell lengths 2.8590, 2.8590, 33.9343 Å; angles 90.00, 90.00, 120.00 degrees
Space group R-3m (No. 166, hexagonal axes)
Symmetry-distinct sites (fractional):
Tc: 0.0000 0.0000 0.0000
Hg: 0.0000 0.0000 0.5000
Se: 0.0000 0.0000 0.0713

***

## TcHgSe2 (meta-GGA SCAN)

Data for a crystal of TcHgSe2 relaxed with PBEsol.

The calculation puts the formation energy (no corrections) at 0.673 eV per atom. Its electronic total energy is -140.7 eV per cell.

Cell lengths 4.679, 4.679, 3.265 Å; angles 90.00, 90.00, 90.00 degrees
Space group P4/mmm (No. 123)
Symmetry-distinct sites (fractional):
Tc: 0.000 0.000 0.000
Hg: 0.500 0.500 0.000
Se: 0.000 0.500 0.500